Tc2MoW (GGA-PBE, relaxed); ΔH_f (0 K) = 175 meV/atom; ΔE to the lowest computed polymorph = 107.0 meV/atom; mass density = 12.76 g cm⁻³
1.0
2.737 0.000 0.000
0.000 2.737 0.000
0.000 0.000 8.270
Tc Mo W
2 1 1
direct
0.000 0.000 0.000 Tc
0.500 0.500 0.220 Tc
0.500 0.500 0.746 Mo
0.000 0.000 0.474 W

=====

Er6RuSe5 (GGA-PBE, relaxed); E_form (uncorrected) = -1500 meV/atom; mass density = 8.60 g cm⁻³
1.0
3.547 -6.145 0.000
3.547 6.145 0.000
-2.363 0.000 6.641
Er Ru Se
6 1 5
direct
0.076 0.385 0.732 Er
0.228 0.228 0.264 Er
0.385 0.076 0.732 Er
0.615 0.924 0.268 Er
0.772 0.772 0.736 Er
0.924 0.615 0.268 Er
0.000 0.000 0.500 Ru
0.177 0.823 0.000 Se
0.335 0.665 0.500 Se
0.500 0.500 0.000 Se
0.665 0.335 0.500 Se
0.823 0.177 0.000 Se

=====

YTlAs2 (GGA-PBE, relaxed); ΔH_f (0 K) = -567 meV/atom; ΔE to the lowest computed polymorph = 52.6 meV/atom; mass density = 7.15 g cm⁻³
1.0
4.168 0.000 0.000
0.000 4.109 0.000
-0.011 0.000 6.007
Y Tl As
1 1 2
direct
0.000 0.000 0.000 Y
0.500 0.500 0.500 Tl
0.000 0.000 0.500 As
0.500 0.500 0.000 As

=====

Ca3Ac2Hg3 (GGA-PBE, relaxed); ΔH_f (0 K) = -349 meV/atom; mass density = 7.45 g cm⁻³
1.0
3.876 0.000 0.000
0.000 5.630 0.000
0.000 0.000 24.023
Ca Ac Hg
6 4 6
direct
0.000 0.000 0.000 Ca
0.000 0.500 0.111 Ca
0.000 0.500 0.889 Ca
0.500 0.000 0.389 Ca
0.500 0.000 0.611 Ca
0.500 0.500 0.500 Ca
0.000 0.000 0.222 Ac
0.000 0.000 0.778 Ac
0.500 0.500 0.278 Ac
0.500 0.500 0.722 Ac
0.000 0.000 0.500 Hg
0.000 0.500 0.391 Hg
0.000 0.500 0.609 Hg
0.500 0.000 0.109 Hg
0.500 0.000 0.891 Hg
0.500 0.500 0.000 Hg

=====

Zr5AlIn4 (GGA-PBE, relaxed); ΔH_f (0 K) = -344 meV/atom; mass density = 7.24 g cm⁻³
1.0
3.125 0.000 0.000
0.000 3.125 0.000
0.000 0.000 22.120
Zr Al In
5 1 4
direct
0.000 0.000 0.000 Zr
0.000 0.000 0.203 Zr
0.000 0.000 0.410 Zr
0.000 0.000 0.590 Zr
0.000 0.000 0.797 Zr
0.500 0.500 0.500 Al
0.500 0.500 0.102 In
0.500 0.500 0.306 In
0.500 0.500 0.694 In
0.500 0.500 0.898 In

=====

LaNb3C (GGA-PBE, relaxed); ΔH_f (0 K) = 3029 meV/atom; ΔE to the lowest computed polymorph = 2821.4 meV/atom; mass density = 6.20 g cm⁻³
1.0
4.864 0.000 0.000
0.000 4.864 0.000
0.000 0.000 4.864
La Nb C
1 3 1
direct
0.000 0.000 0.000 La
0.000 0.000 0.500 Nb
0.000 0.500 0.000 Nb
0.500 0.000 0.000 Nb
0.500 0.500 0.500 C